(1)
VASP calculation (PBE) on a relaxed LaTiBO5 crystal.

abc: 5.4027 5.4027 6.9651
angles: 102.90 102.90 106.54
With the nearest neighbours (Å) after each atom.
Sites, in units of the cell vectors:
La (0.3420, 0.6580, 0.2500)  5 O 2.33-2.49
La (0.6580, 0.3420, 0.7500)  5 O 2.33-2.49
Ti (0.0000, 0.0000, 0.5000)  6 O 1.85-2.06
Ti (0.0000, 0.0000, 0.0000)  6 O 1.85-2.06
B (0.6858, 0.3142, 0.2500)  4 O 1.51-1.53
B (0.3142, 0.6858, 0.7500)  4 O 1.51-1.53
O (0.0727, 0.9273, 0.2500)  2 Ti 1.85
O (0.9273, 0.0727, 0.7500)  2 Ti 1.85
O (0.8784, 0.3081, 0.1228)  1 B 1.51
O (0.1216, 0.6919, 0.8772)  1 B 1.51
O (0.6919, 0.1216, 0.3772)  1 B 1.51
O (0.3081, 0.8784, 0.6228)  1 B 1.51
O (0.7556, 0.5960, 0.4012)  1 B 1.53
O (0.2444, 0.4040, 0.5988)  1 B 1.53
O (0.4040, 0.2444, 0.0988)  1 B 1.53
O (0.5960, 0.7556, 0.9012)  1 B 1.53

Computed properties:
DOS at the Fermi energy (states/eV/f.u.): 0.00
Uncorrected formation energy (meV per atom): -2977

=====

(2)
VASP calculation (PBE) on a relaxed MnCoTcSb crystal.

abc: 4.3507 4.3507 4.3507
angles: 60.00 60.00 60.00
With the nearest neighbours (Å) after each atom.
Sites, in units of the cell vectors:
Sb (0.0000, 0.0000, 0.0000)  4 Tc 2.66, 4 Co 2.66
Mn (0.5000, 0.5000, 0.5000)  4 Co 2.66, 4 Tc 2.66
Co (0.2500, 0.2500, 0.2500)  4 Sb 2.66, 4 Mn 2.66
Tc (0.7500, 0.7500, 0.7500)  4 Mn 2.66, 4 Sb 2.66

Computed properties:
DOS at the Fermi energy (states/eV/f.u.): 2.80
Uncorrected formation energy (meV per atom): 21

=====

(3)
VASP calculation (PBE) on a relaxed Pu2AsO crystal.

abc: 3.8265 3.8265 6.6170
angles: 73.19 73.19 60.00
With the nearest neighbours (Å) after each atom.
Sites, in units of the cell vectors:
As (0.0000, 0.0000, 0.0000)  6 Pu 2.88
O (0.5000, 0.5000, 0.5000)  6 Pu 2.55
Pu (0.7650, 0.7650, 0.7049)  3 O 2.55
Pu (0.2350, 0.2350, 0.2951)  3 O 2.55

Computed properties:
Energy relative to the lowest polymorph listed for this composition (meV per atom): 47
DOS at the Fermi energy (states/eV/f.u.): 13.85
Uncorrected formation energy (meV per atom): -1690

=====

(4)
VASP calculation (PBE) on a relaxed HfTl2CdO6 crystal.

abc: 5.7196 5.7197 6.0160
angles: 61.62 61.61 60.00
With the nearest neighbours (Å) after each atom.
Sites, in units of the cell vectors:
Hf (0.3132, 0.3132, 0.0605)  6 O 2.06-2.16
Tl (0.5302, 0.5302, 0.4094)  6 O 2.25-2.42
Tl (0.0302, 0.0302, 0.9093)  3 O 2.21
Cd (0.8077, 0.8077, 0.5768)  6 O 2.28-2.45
O (0.5864, 0.2157, 0.2490)  1 Hf 2.06, 1 Tl 2.25
O (0.2158, 0.9489, 0.2490)  1 Hf 2.06, 1 Tl 2.25
O (0.9489, 0.5864, 0.2490)  1 Hf 2.06, 1 Tl 2.25
O (0.4152, 0.6867, 0.7708)  1 Hf 2.16, 2 Tl 2.21-2.42, 1 Cd 2.28
O (0.6867, 0.1274, 0.7707)  1 Hf 2.16, 2 Tl 2.21-2.42, 1 Cd 2.28
O (0.1274, 0.4152, 0.7707)  1 Hf 2.16, 2 Tl 2.21-2.42, 1 Cd 2.28

Computed properties:
Uncorrected formation energy (meV per atom): -1554

=====

(5)
VASP calculation (PBE) on a relaxed Nd3TmTh2 crystal.

abc: 3.6259 10.1952 10.8137
angles: 90.46 90.00 90.00
With the nearest neighbours (Å) after each atom.
Sites, in units of the cell vectors:
Nd (0.7500, 0.1320, 0.5844)  6 Nd 3.56-3.71, 3 Th 3.59-3.61, 3 Tm 3.61-3.66
Nd (0.2500, 0.8680, 0.4156)  6 Nd 3.56-3.71, 3 Th 3.59-3.61, 3 Tm 3.61-3.66
Nd (0.7500, 0.6226, 0.2501)  7 Nd 3.56-3.69, 5 Th 3.59-3.72
Nd (0.2500, 0.3774, 0.7499)  7 Nd 3.56-3.69, 5 Th 3.59-3.72
Nd (0.2500, 0.3603, 0.0839)  2 Tm 3.51, 3 Th 3.57-3.61, 7 Nd 3.62-3.84
Nd (0.7500, 0.6397, 0.9161)  2 Tm 3.51, 3 Th 3.57-3.61, 7 Nd 3.62-3.84
Tm (0.2500, 0.8747, 0.7492)  5 Nd 3.51-3.66, 5 Th 3.54-3.62, 2 Tm 3.63
Tm (0.7500, 0.1253, 0.2508)  5 Nd 3.51-3.66, 5 Th 3.54-3.62, 2 Tm 3.63
Th (0.2500, 0.3778, 0.4175)  4 Th 3.55-3.63, 6 Nd 3.59-3.61, 2 Tm 3.62
Th (0.7500, 0.6222, 0.5825)  4 Th 3.55-3.63, 6 Nd 3.59-3.61, 2 Tm 3.62
Th (0.7500, 0.1144, 0.9179)  4 Th 3.46-3.63, 3 Tm 3.54-3.60, 5 Nd 3.57-3.72
Th (0.2500, 0.8856, 0.0821)  4 Th 3.46-3.63, 3 Tm 3.54-3.60, 5 Nd 3.57-3.72

Computed properties:
Energy relative to the lowest polymorph listed for this composition (meV per atom): 0
DOS at the Fermi energy (states/eV/f.u.): 8.26
Energy of formation (meV per atom): 43

=====

(6)
VASP calculation (PBE) on a relaxed Dy4Tm5Zr crystal.

abc: 5.7851 7.8858 7.8858
angles: 82.27 68.48 68.48
With the nearest neighbours (Å) after each atom.
Sites, in units of the cell vectors:
Dy (0.4391, 0.3211, 0.6790)  5 Tm 3.27-3.62, 1 Zr 3.58
Dy (0.7602, 0.6790, 0.6789)  5 Tm 3.27-3.62, 1 Zr 3.58
Dy (0.1181, 0.3210, 0.3211)  5 Tm 3.27-3.62, 1 Zr 3.58
Dy (0.4392, 0.6789, 0.3210)  5 Tm 3.27-3.62, 1 Zr 3.58
Tm (0.7821, 0.3698, 0.9999)  1 Zr 3.06, 1 Tm 3.19, 2 Dy 3.27
Tm (0.1519, 0.9999, 0.6302)  1 Zr 3.06, 1 Tm 3.19, 2 Dy 3.27
Tm (0.7821, 0.0001, 0.3698)  1 Zr 3.06, 1 Tm 3.19, 2 Dy 3.27
Tm (0.1519, 0.6302, 0.0001)  1 Zr 3.06, 1 Tm 3.19, 2 Dy 3.27
Tm (0.6758, 0.0000, 0.0000)  1 Zr 2.69
Zr (0.2100, 0.0000, 0.0000)  1 Tm 2.69

Computed properties:
Energy relative to the lowest polymorph listed for this composition (meV per atom): 210
DOS at the Fermi energy (states/eV/f.u.): 14.27
Energy of formation (meV per atom): 249

=====

(7)
VASP calculation (PBE) on a relaxed Al2TlGa4 crystal.

abc: 5.8893 5.2756 5.4466
angles: 77.65 63.41 71.46
With the nearest neighbours (Å) after each atom.
Sites, in units of the cell vectors:
Tl (0.0000, 0.0000, 0.0000)  6 Ga 3.07-3.24, 2 Al 3.31
Al (0.7793, 0.5124, 0.4522)  6 Ga 2.69-2.98, 1 Al 2.83
Al (0.2207, 0.4876, 0.5478)  6 Ga 2.69-2.98, 1 Al 2.83
Ga (0.7011, 0.5917, 0.9748)  3 Ga 2.72-2.83, 3 Al 2.76-2.86
Ga (0.2989, 0.4083, 0.0252)  3 Ga 2.72-2.83, 3 Al 2.76-2.86
Ga (0.6503, 0.0407, 0.6239)  3 Al 2.69-2.98, 3 Ga 2.73-2.83
Ga (0.3497, 0.9593, 0.3762)  3 Al 2.69-2.98, 3 Ga 2.73-2.83

Computed properties:
DOS at the Fermi energy (states/eV/f.u.): 1.90
Energy of formation (meV per atom): 87

=====

(8)
VASP calculation (PBE) on a relaxed Pr5NdSm2Ho crystal.

abc: 8.9949 8.9949 10.1411
angles: 116.33 116.33 90.00
With the nearest neighbours (Å) after each atom.
Sites, in units of the cell vectors:
Pr (0.9301, 0.4301, 0.2771)  1 Sm 3.13, 1 Ho 3.18
Pr (0.6530, 0.1530, 0.7229)  1 Sm 3.13, 1 Ho 3.18
Pr (0.0699, 0.5699, 0.7229)  1 Sm 3.13, 1 Ho 3.18
Pr (0.1530, 0.0699, 0.7229)  1 Sm 3.13, 1 Ho 3.18
Pr (0.5699, 0.6530, 0.7229)  1 Sm 3.13, 1 Ho 3.18
Pr (0.8470, 0.9301, 0.2771)  1 Sm 3.13, 1 Ho 3.18
Pr (0.4301, 0.3470, 0.2771)  1 Sm 3.13, 1 Ho 3.18
Pr (0.3470, 0.8470, 0.2771)  1 Sm 3.13, 1 Ho 3.18
Pr (0.5000, 0.5000, 0.0000)  4 Sm 3.61, 8 Pr 3.90, 2 Nd 3.95
Pr (0.0000, 0.0000, 0.0000)  4 Sm 3.61, 8 Pr 3.90, 2 Nd 3.95
Nd (0.2500, 0.2500, 0.5000)  10 Pr 3.67-3.95
Nd (0.7500, 0.7500, 0.5000)  10 Pr 3.67-3.95
Sm (0.1156, 0.3844, 0.0000)  1 Sm 2.94, 2 Pr 3.13
Sm (0.6156, 0.1156, 0.0000)  1 Sm 2.94, 2 Pr 3.13
Sm (0.3844, 0.8844, 0.0000)  1 Sm 2.94, 2 Pr 3.13
Sm (0.8844, 0.6156, 0.0000)  1 Sm 2.94, 2 Pr 3.13
Ho (0.2500, 0.7500, 0.5000)  4 Pr 3.18
Ho (0.7500, 0.2500, 0.5000)  4 Pr 3.18

Computed properties:
DOS at the Fermi energy (states/eV/f.u.): 15.39
Energy of formation (meV per atom): 280

=====

(9)
VASP calculation (PBE) on a relaxed InPd crystal.

abc: 7.4561 7.4561 7.4561
angles: 90.00 90.00 90.00
With the nearest neighbours (Å) after each atom.
Sites, in units of the cell vectors:
In (0.2500, 0.0000, 0.5000)  4 Pd 2.64
In (0.7500, 0.0000, 0.5000)  4 Pd 2.64
In (0.0000, 0.5000, 0.2500)  4 Pd 2.64
In (0.0000, 0.5000, 0.7500)  4 Pd 2.64
In (0.5000, 0.2500, 0.0000)  4 Pd 2.64
In (0.5000, 0.7500, 0.0000)  4 Pd 2.64
Pd (0.2500, 0.5000, 0.0000)  4 In 2.64
Pd (0.7500, 0.5000, 0.0000)  4 In 2.64
Pd (0.5000, 0.0000, 0.2500)  4 In 2.64
Pd (0.5000, 0.0000, 0.7500)  4 In 2.64
Pd (0.0000, 0.2500, 0.5000)  4 In 2.64
Pd (0.0000, 0.7500, 0.5000)  4 In 2.64

Computed properties:
DOS at the Fermi energy (states/eV/f.u.): 1.44
Energy of formation (meV per atom): 172

=====

(10)
VASP calculation (PBE) on a relaxed LaScBr4 crystal.

abc: 6.3276 6.3276 6.3276
angles: 60.00 60.00 60.00
With the nearest neighbours (Å) after each atom.
Sites, in units of the cell vectors:
La (0.2500, 0.2500, 0.2500)  12 Br 3.71, 4 Sc 3.87
Sc (0.0000, 0.0000, 0.0000)  12 Br 3.71, 4 La 3.87
Br (0.1249, 0.6250, 0.6250)  6 Br 3.16
Br (0.6250, 0.6250, 0.6250)  6 Br 3.16
Br (0.6250, 0.1249, 0.6250)  6 Br 3.16
Br (0.6250, 0.6250, 0.1249)  6 Br 3.16

Computed properties:
DOS at the Fermi energy (states/eV/f.u.): 12.83
Uncorrected formation energy (meV per atom): -166

=====

| no. | raw total energy (eV/f.u.) | total magnetization (μB/cell) |
| --- | --- | --- |
| 1 | -68.10 | 0.00 |
| 2 | -30.68 | 4.02 |
| 3 | -45.03 | 10.86 |
| 4 | -60.89 | 0.00 |
| 5 | -33.36 | 0.00 |
| 6 | -46.82 | 0.00 |
| 7 | -21.35 | 0.00 |
| 8 | -40.16 | 0.00 |
| 9 | -7.59 | 0.00 |
| 10 | -18.95 | 2.40 |